Computed, not measured: a geometry-optimized InCuOs2 structure at the PBE-GGA level of DFT.

Lattice parameters (Å, degrees): 4.3229 4.3229 3.2643 90.00 90.00 90.00
Fractional positions:
1 Os 0.0000 0.0000 0.0000
2 Os 0.5000 0.5000 0.0000
3 In 0.0000 0.5000 0.5000
4 Cu 0.5000 0.0000 0.5000

- formation enthalpy at 0 K (eV per atom) = 0.74